(1)
The following is a PBE-GGA calculation of an optimized crystal structure of LiErTl4, from the Alexandria database.

Summary:
The total magnetization is 0.000 μB per cell. The formation energy from the elements is 0.093 eV/f.u. The total energy comes out at -2.64 eV per atom.

Unit cell a=4.6934 b=4.6934 c=7.6779 alpha=90.00 beta=90.00 gamma=90.00
With the nearest neighbours (Å) after each atom.
Element x y z (fractional)
Li: 0.0000 0.0000 0.0000  8 Tl 2.87
Er: 0.5000 0.5000 0.5000  8 Tl 3.21
Tl: 0.0000 0.5000 0.2151  2 Li 2.87, 2 Er 3.21
Tl: 0.0000 0.5000 0.7849  2 Li 2.87, 2 Er 3.21
Tl: 0.5000 0.0000 0.2151  2 Li 2.87, 2 Er 3.21
Tl: 0.5000 0.0000 0.7849  2 Li 2.87, 2 Er 3.21

***

(2)
The following is a PBE-GGA calculation of an optimized crystal structure of Li2ErTl3, from the Alexandria database.

Summary:
The total magnetization is 0.000 μB per cell. The formation energy from the elements is -1.604 eV/f.u. The total energy comes out at -2.85 eV per atom.

Unit cell a=5.0717 b=5.0717 c=12.5804 alpha=90.00 beta=90.00 gamma=120.00
With the nearest neighbours (Å) after each atom.
Element x y z (fractional)
Li: 0.0000 0.0000 0.0000  8 Tl 2.97-3.07
Li: 0.0000 0.0000 0.5000  8 Tl 3.11-3.32
Li: 0.3333 0.6667 0.1672  8 Tl 3.04-3.15
Li: 0.6667 0.3333 0.8328  8 Tl 3.04-3.15
Er: 0.3333 0.6667 0.6672  8 Tl 3.11-3.25
Er: 0.6667 0.3333 0.3328  8 Tl 3.11-3.25
Tl: 0.0000 0.0000 0.2362  5 Li 2.97-3.32, 3 Er 3.17
Tl: 0.0000 0.0000 0.7638  5 Li 2.97-3.32, 3 Er 3.17
Tl: 0.3333 0.6667 0.4167  4 Li 3.11-3.14, 4 Er 3.11-3.15
Tl: 0.3333 0.6667 0.9257  7 Li 3.04-3.15, 1 Er 3.25
Tl: 0.6667 0.3333 0.0743  7 Li 3.04-3.15, 1 Er 3.25
Tl: 0.6667 0.3333 0.5833  4 Li 3.11-3.14, 4 Er 3.11-3.15

***

(3)
The following is a PBE-GGA calculation of an optimized crystal structure of LiEr2Tl, from the Alexandria database.

Summary:
The total magnetization is 0.000 μB per cell. The formation energy from the elements is -0.724 eV/f.u. The total energy comes out at -3.53 eV per atom.

Unit cell a=5.2352 b=5.2352 c=5.2352 alpha=60.00 beta=60.00 gamma=60.00
With the nearest neighbours (Å) after each atom.
Element x y z (fractional)
Li: 0.0000 0.0000 0.0000  8 Er 3.21
Er: 0.2500 0.2500 0.2500  4 Tl 3.21, 4 Li 3.21
Er: 0.7500 0.7500 0.7500  4 Tl 3.21, 4 Li 3.21
Tl: 0.5000 0.5000 0.5000  8 Er 3.21